(1)
VASP calculation (GGA-PBE) on a geometry-optimized PrHo2ScTe6 structure.

```
data_PrHo2ScTe6
_cell_length_a 7.6643
_cell_length_b 7.6643
_cell_length_c 20.9569
_cell_angle_alpha 90.00
_cell_angle_beta 90.00
_cell_angle_gamma 120.00
_space_group_name_H-M_alt 'R 3'
_space_group_IT_number 146
_space_group_name_Hall 'R 3'
loop_
_atom_site_label
_atom_site_type_symbol
_atom_site_fract_x
_atom_site_fract_y
_atom_site_fract_z
Pr1 Pr 0.0000 0.0000 0.0000
Ho1 Ho 0.0000 0.0000 0.3094
Ho2 Ho 0.0000 0.0000 0.8135
Sc1 Sc 0.0000 0.0000 0.4951
Te1 Te 0.0125 0.7040 0.4066
Te2 Te 0.0143 0.3367 0.5685
```

---

(2)
VASP calculation (GGA-PBE) on a geometry-optimized PrHo2ScTe4 structure.

```
data_PrHo2ScTe4
_cell_length_a 7.525
_cell_length_b 4.301
_cell_length_c 7.623
_cell_angle_alpha 90.00
_cell_angle_beta 108.83
_cell_angle_gamma 90.00
_space_group_name_H-M_alt 'P 1 2/m 1'
_space_group_IT_number 10
loop_
_space_group_symop_operation_xyz
'x,y,z'
'-x,-y,-z'
'-x,y,-z'
'x,-y,z'
loop_
_atom_site_label
_atom_site_type_symbol
_atom_site_fract_x
_atom_site_fract_y
_atom_site_fract_z
Pr1 Pr 0.000 0.000 0.000
Ho1 Ho 0.500 0.000 0.500
Ho2 Ho 0.500 0.500 0.000
Sc1 Sc 0.000 0.500 0.500
Te1 Te 0.247 0.000 0.737
Te2 Te 0.256 0.500 0.264
```

---

(3)
VASP calculation (GGA-PBE) on a geometry-optimized Pr3Ho3ScTe8 structure.

```
data_Pr3Ho3ScTe8
_cell_length_a 8.7686
_cell_length_b 8.7686
_cell_length_c 21.8254
_cell_angle_alpha 90.00
_cell_angle_beta 90.00
_cell_angle_gamma 120.00
_space_group_name_H-M_alt 'R -3 m'
_space_group_IT_number 166
_space_group_name_Hall '-R 3 2"'
loop_
_atom_site_label
_atom_site_type_symbol
_atom_site_fract_x
_atom_site_fract_y
_atom_site_fract_z
Pr1 Pr 0.0000 0.5000 0.0000
Ho1 Ho 0.0000 0.5000 0.5000
Sc1 Sc 0.0000 0.0000 0.5000
Te1 Te 0.0000 0.0000 0.2450
Te2 Te 0.0005 0.5002 0.2446
```

---

no.,uncorrected formation energy (eV per atom)
1,-1.306
2,-1.237
3,-1.370